one) Density functional theory data (PBE) for crystalline RuRh4 at its relaxed geometry.

Cell and atoms, written as POSCAR:
```
RuRh4
1.0
9.305 0.000 0.000
0.000 9.305 0.000
0.000 0.000 4.514
Ru Rh
4 16
direct
0.233 0.267 0.000
0.267 0.767 0.000
0.733 0.233 0.000
0.767 0.733 0.000
0.000 0.000 0.241
0.000 0.000 0.759
0.075 0.237 0.500
0.154 0.654 0.500
0.237 0.925 0.500
0.263 0.425 0.500
0.346 0.154 0.500
0.425 0.737 0.500
0.500 0.500 0.241
0.500 0.500 0.759
0.575 0.263 0.500
0.654 0.846 0.500
0.737 0.575 0.500
0.763 0.075 0.500
0.846 0.346 0.500
0.925 0.763 0.500
```

* V: 19.54 Å³ per atom


two) Density functional theory data (PBE) for crystalline RuRh4 at its relaxed geometry.

Cell and atoms, written as POSCAR:
```
RuRh4
1.0
-3.034 3.034 1.915
3.034 -3.034 1.915
3.034 3.034 -1.915
Ru Rh
1 4
direct
0.000 0.000 0.000
0.202 0.398 0.600
0.398 0.798 0.196
0.602 0.202 0.804
0.798 0.602 0.400
```

* V: 14.10 Å³ per atom


Least stable = one)


one) Density functional theory data (PBE) for crystalline Ru2Rh3 at its relaxed geometry.

Cell and atoms, written as POSCAR:
```
Ru2Rh3
1.0
7.665 0.000 0.000
0.000 2.706 0.000
0.000 0.000 13.557
Ru Rh
8 12
direct
0.124 0.250 0.052
0.128 0.250 0.648
0.372 0.750 0.148
0.376 0.750 0.552
0.624 0.250 0.448
0.628 0.250 0.852
0.872 0.750 0.352
0.876 0.750 0.948
0.124 0.250 0.248
0.124 0.250 0.851
0.125 0.250 0.451
0.375 0.750 0.951
0.376 0.750 0.351
0.376 0.750 0.748
0.624 0.250 0.252
0.624 0.250 0.649
0.625 0.250 0.049
0.875 0.750 0.549
0.876 0.750 0.149
0.876 0.750 0.752
```

* V: 14.06 Å³ per atom


two) Density functional theory data (PBE) for crystalline Ru2Rh3 at its relaxed geometry.

Cell and atoms, written as POSCAR:
```
Ru2Rh3
1.0
1.854 1.070 6.913
-1.854 1.070 6.913
0.000 -2.140 6.913
Ru Rh
2 3
direct
0.098 0.098 0.098
0.902 0.902 0.902
0.292 0.292 0.292
0.500 0.500 0.500
0.708 0.708 0.708
```

* V: 16.46 Å³ per atom


Least stable = two)


one) Density functional theory data (PBE) for crystalline Ru2Rh3 at its relaxed geometry.

Cell and atoms, written as POSCAR:
```
Ru2Rh3
1.0
4.284 -1.913 0.000
4.284 1.913 0.000
-4.268 0.000 4.290
Ru Rh
2 3
direct
0.197 0.197 0.094
0.803 0.803 0.906
0.000 0.000 0.500
0.405 0.405 0.704
0.595 0.595 0.296
```

* V: 14.06 Å³ per atom


two) Density functional theory data (PBE) for crystalline Ru2Rh3 at its relaxed geometry.

Cell and atoms, written as POSCAR:
```
Ru2Rh3
1.0
0.000 6.691 2.364
4.522 0.000 2.364
4.522 6.691 0.000
Ru Rh
4 6
direct
0.024 0.476 0.066
0.184 0.816 0.226
0.476 0.024 0.434
0.816 0.184 0.774
0.044 0.044 0.956
0.294 0.294 0.206
0.460 0.596 0.339
0.596 0.460 0.605
0.645 0.911 0.654
0.911 0.645 0.790
```

* V: 14.31 Å³ per atom


Least stable = two)


one) Density functional theory data (PBE) for crystalline Ru5Rh3 at its relaxed geometry.

Cell and atoms, written as POSCAR:
```
Ru5Rh3
1.0
2.454 -6.811 0.000
2.454 6.811 0.000
-2.401 0.000 6.969
Ru Rh
10 6
direct
0.091 0.745 0.816
0.150 0.339 0.646
0.216 0.216 0.948
0.255 0.909 0.184
0.339 0.150 0.646
0.661 0.850 0.354
0.745 0.091 0.816
0.784 0.784 0.052
0.850 0.661 0.354
0.909 0.255 0.184
0.269 0.731 0.500
0.275 0.275 0.340
0.337 0.663 0.000
0.663 0.337 0.000
0.725 0.725 0.660
0.731 0.269 0.500
```

* V: 14.56 Å³ per atom


two) Density functional theory data (PBE) for crystalline Ru5Rh3 at its relaxed geometry.

Cell and atoms, written as POSCAR:
```
Ru5Rh3
1.0
3.808 -3.828 0.000
3.808 3.828 0.000
0.000 0.000 3.842
Ru Rh
5 3
direct
0.000 0.000 0.000
0.000 0.500 0.000
0.249 0.751 0.500
0.500 0.000 0.000
0.751 0.249 0.500
0.249 0.249 0.500
0.500 0.500 0.000
0.751 0.751 0.500
```

* V: 14.00 Å³ per atom


three) Density functional theory data (PBE) for crystalline Ru5Rh3 at its relaxed geometry.

Cell and atoms, written as POSCAR:
```
Ru5Rh3
1.0
7.686 0.000 0.000
-3.843 6.656 0.000
0.000 0.000 4.651
Ru Rh
10 6
direct
0.000 0.198 0.250
0.000 0.802 0.750
0.198 0.000 0.250
0.198 0.198 0.750
0.333 0.667 0.000
0.333 0.667 0.500
0.667 0.333 0.000
0.667 0.333 0.500
0.802 0.000 0.750
0.802 0.802 0.250
0.000 0.396 0.750
0.000 0.604 0.250
0.396 0.000 0.750
0.396 0.396 0.250
0.604 0.000 0.250
0.604 0.604 0.750
```

* V: 14.87 Å³ per atom


four) Density functional theory data (PBE) for crystalline Ru5Rh3 at its relaxed geometry.

Cell and atoms, written as POSCAR:
```
Ru5Rh3
1.0
2.736 0.000 0.000
0.000 4.313 0.000
0.000 0.000 9.489
Ru Rh
5 3
direct
0.000 0.000 0.000
0.000 0.000 0.494
0.000 0.500 0.328
0.500 0.000 0.246
0.500 0.500 0.083
0.000 0.500 0.833
0.500 0.000 0.746
0.500 0.500 0.578
```

* V: 14.00 Å³ per atom


Least stable = three)


one) Density functional theory data (PBE) for crystalline Ru4Rh5 at its relaxed geometry.

Cell and atoms, written as POSCAR:
```
Ru4Rh5
1.0
-4.072 4.072 1.910
4.072 -4.072 1.910
4.072 4.072 -1.910
Ru Rh
4 5
direct
0.000 0.340 0.340
0.000 0.660 0.660
0.340 0.000 0.340
0.660 0.000 0.660
0.000 0.000 0.000
0.332 0.332 0.664
0.332 0.668 0.000
0.668 0.332 0.000
0.668 0.668 0.336
```

* V: 14.07 Å³ per atom


two) Density functional theory data (PBE) for crystalline Ru4Rh5 at its relaxed geometry.

Cell and atoms, written as POSCAR:
```
Ru4Rh5
1.0
7.493 0.000 0.000
-3.746 6.489 0.000
0.000 0.000 5.337
Ru Rh
8 10
direct
0.000 0.000 0.000
0.000 0.000 0.500
0.000 0.332 0.250
0.000 0.668 0.750
0.332 0.000 0.250
0.332 0.332 0.750
0.668 0.000 0.750
0.668 0.668 0.250
0.000 0.331 0.750
0.000 0.669 0.250
0.331 0.000 0.750
0.331 0.331 0.250
0.333 0.667 0.000
0.333 0.667 0.500
0.667 0.333 0.000
0.667 0.333 0.500
0.669 0.000 0.250
0.669 0.669 0.750
```

* V: 14.41 Å³ per atom


Least stable = two)